The following is a PBEsol calculation of a relaxed SrInCuMo2 crystal, from Alexandria.

Output
Theoretical density ... 6.89 g/cm3
E_form ... 2.491 eV/atom
Fermi-level density of states ... 1.310 states/eV per atom
E_tot ... -4.048 eV/atom

Unit cell a=4.829 b=4.829 c=4.734 alpha=90.00 beta=90.00 gamma=90.00
Element x y z (fractional)
1 Sr 0.000 0.000 0.000
2 In 0.500 0.500 0.500
3 Cu 0.000 0.000 0.500
4 Mo 0.000 0.500 0.000
5 Mo 0.500 0.000 0.000

=====

The following is a PBEsol calculation of a relaxed CaCr2Tc crystal, from Alexandria.

Output
Theoretical density ... 6.66 g/cm3
E_form ... 0.808 eV/atom
Energy above the lowest structure with this stoichiometry ... 0.000 eV per atom
Fermi-level density of states ... 0.763 states/eV per atom
E_tot ... -7.663 eV/atom

Unit cell a=4.403 b=4.403 c=4.403 alpha=60.00 beta=60.00 gamma=60.00
Element x y z (fractional)
1 Ca 0.000 0.000 0.000
2 Cr 0.250 0.250 0.250
3 Cr 0.750 0.750 0.750
4 Tc 0.500 0.500 0.500

=====

The following is a PBEsol calculation of a relaxed CaTl2Cl crystal, from Alexandria.

Output
Theoretical density ... 6.93 g/cm3
Energy above the lowest structure with this stoichiometry ... 0.120 eV per atom
Fermi-level density of states ... 0.863 states/eV per atom
E_tot ... -2.920 eV/atom
E_form (uncorrected) ... -0.5698 eV per atom

Unit cell a=3.728 b=5.471 c=5.688 alpha=90.00 beta=90.00 gamma=90.00
Element x y z (fractional)
1 Ca 0.000 0.000 0.000
2 Tl 0.500 0.500 0.248
3 Tl 0.500 0.500 0.752
4 Cl 0.000 0.000 0.500

=====

The following is a PBEsol calculation of a relaxed ZnSOF2 crystal, from Alexandria.

Output
Theoretical density ... 4.10 g/cm3
Energy above the lowest structure with this stoichiometry ... 0.000 eV per atom
Fermi-level density of states ... 0.566 states/eV per atom
E_tot ... -3.547 eV/atom
E_form (uncorrected) ... -0.5333 eV per atom

Unit cell a=3.760 b=3.760 c=4.342 alpha=90.00 beta=90.00 gamma=90.00
Element x y z (fractional)
1 Zn 0.000 0.000 0.000
2 S 0.500 0.500 0.500
3 O 0.000 0.000 0.500
4 F 0.000 0.500 0.000
5 F 0.500 0.000 0.000

=====

The following is a PBEsol calculation of a relaxed Ta2AuCl crystal, from Alexandria.

Output
Theoretical density ... 14.88 g/cm3
Energy above the lowest structure with this stoichiometry ... 0.176 eV per atom
Fermi-level density of states ... 0.727 states/eV per atom
E_tot ... -7.721 eV/atom
E_form (uncorrected) ... 0.0373 eV per atom

Unit cell a=9.047 b=9.047 c=9.047 alpha=18.67 beta=18.67 gamma=18.67
Element x y z (fractional)
1 Ta 0.246 0.246 0.246
2 Ta 0.754 0.754 0.754
3 Au 0.000 0.000 0.000
4 Cl 0.500 0.500 0.500

=====

The following is a PBEsol calculation of a relaxed RbGe2TeW crystal, from Alexandria.

Output
Theoretical density ... 6.31 g/cm3
Fermi-level density of states ... 0.896 states/eV per atom
E_tot ... -3.028 eV/atom
E_form (uncorrected) ... 2.6196 eV per atom

Unit cell a=5.338 b=5.338 c=5.004 alpha=90.00 beta=90.00 gamma=90.00
Element x y z (fractional)
1 Rb 0.000 0.000 0.000
2 Ge 0.000 0.500 0.000
3 Ge 0.500 0.000 0.000
4 Te 0.500 0.500 0.500
5 W 0.000 0.000 0.500